Computed, not measured: a relaxed CaMgAgIr2 crystal at the GGA-PBEsol level of DFT. Values from VASP.

The structure in Quantum ESPRESSO input format:
```
&SYSTEM
  ibrav = 0, nat = 5, ntyp = 4
/
ATOMIC_SPECIES
Ca 40.08 Ca.upf
Mg 24.30 Mg.upf
Ag 107.87 Ag.upf
Ir 192.22 Ir.upf
CELL_PARAMETERS angstrom
4.9182 0.0000 0.0000
0.0000 4.9182 0.0000
0.0000 0.0000 4.5900
ATOMIC_POSITIONS crystal
Ca 0.0000 0.0000 0.0000
Mg 0.5000 0.5000 0.0000
Ag 0.5000 0.5000 0.5000
Ir 0.0000 0.5000 0.5000
Ir 0.5000 0.0000 0.5000
```

Results
Final energy, eV/atom: -4.4583
V, Å³/atom: 22.2
Magnetic moment, μB per atom: 0.00

Computed, not measured: a relaxed AsIr2Au crystal at the GGA-PBEsol level of DFT. Values from VASP.

The structure in Quantum ESPRESSO input format:
```
&SYSTEM
  ibrav = 0, nat = 12, ntyp = 3
/
ATOMIC_SPECIES
As 74.92 As.upf
Ir 192.22 Ir.upf
Au 196.97 Au.upf
CELL_PARAMETERS angstrom
2.8771 0.0000 0.0000
-1.4386 2.4917 0.0000
0.0000 0.0000 25.3756
ATOMIC_POSITIONS crystal
As 0.0000 0.0000 0.0000
As 0.3333 0.6667 0.6667
As 0.6667 0.3333 0.3333
Ir 0.0000 0.0000 0.2583
Ir 0.0000 0.0000 0.7417
Ir 0.3333 0.6667 0.4084
Ir 0.3333 0.6667 0.9249
Ir 0.6667 0.3333 0.0751
Ir 0.6667 0.3333 0.5916
Au 0.0000 0.0000 0.5000
Au 0.3333 0.6667 0.1667
Au 0.6667 0.3333 0.8333
```

Results
Final energy, eV/atom: -6.9738
V, Å³/atom: 15.2
Magnetic moment, μB per atom: 0.00

Computed, not measured: a relaxed CaYSeN2 crystal at the GGA-PBEsol level of DFT. Values from VASP.

The structure in Quantum ESPRESSO input format:
```
&SYSTEM
  ibrav = 0, nat = 5, ntyp = 4
/
ATOMIC_SPECIES
Ca 40.08 Ca.upf
Y 88.91 Y.upf
Se 78.96 Se.upf
N 14.01 N.upf
CELL_PARAMETERS angstrom
4.2938 0.0000 0.0000
0.0000 4.2938 0.0000
0.0000 0.0000 5.2639
ATOMIC_POSITIONS crystal
Ca 0.0000 0.0000 0.0000
Y 0.5000 0.5000 0.5000
Se 0.0000 0.0000 0.5000
N 0.0000 0.5000 0.0000
N 0.5000 0.0000 0.0000
```

Results
E above lowest polymorph, meV per atom: 548
Energy relative to the elements, uncorrected, meV per atom: 334
V, Å³/atom: 19.4
Magnetic moment, μB per atom: 0.49

Computed, not measured: a relaxed RbTl3Tc crystal at the GGA-PBEsol level of DFT. Values from VASP.

The structure in Quantum ESPRESSO input format:
```
&SYSTEM
  ibrav = 0, nat = 5, ntyp = 3
/
ATOMIC_SPECIES
Rb 85.47 Rb.upf
Tl 204.38 Tl.upf
Tc 98.00 Tc.upf
CELL_PARAMETERS angstrom
5.8896 0.0000 0.0000
0.0000 5.8896 0.0000
0.0000 0.0000 5.8896
ATOMIC_POSITIONS crystal
Rb 0.0000 0.0000 0.0000
Tl 0.0000 0.0000 0.5000
Tl 0.0000 0.5000 0.0000
Tl 0.5000 0.0000 0.0000
Tc 0.5000 0.5000 0.5000
```

Results
Final energy, eV/atom: -2.1075
V, Å³/atom: 40.9
Magnetic moment, μB per atom: 0.68

Computed, not measured: a relaxed Cr2TcB2 crystal at the GGA-PBEsol level of DFT. Values from VASP.

The structure in Quantum ESPRESSO input format:
```
&SYSTEM
  ibrav = 0, nat = 10, ntyp = 3
/
ATOMIC_SPECIES
Cr 52.00 Cr.upf
Tc 98.00 Tc.upf
B 10.81 B.upf
CELL_PARAMETERS angstrom
5.6996 0.0000 0.0000
0.0000 5.6996 0.0000
0.0000 0.0000 2.8723
ATOMIC_POSITIONS crystal
Cr 0.1684 0.3316 0.0000
Cr 0.3316 0.8316 0.0000
Cr 0.6684 0.1684 0.0000
Cr 0.8316 0.6684 0.0000
Tc 0.0000 0.0000 0.5000
Tc 0.5000 0.5000 0.5000
B 0.1147 0.6147 0.5000
B 0.3853 0.1147 0.5000
B 0.6147 0.8853 0.5000
B 0.8853 0.3853 0.5000
```

Results
Final energy, eV/atom: -9.5545
V, Å³/atom: 9.3
Magnetic moment, μB per atom: 0.00

Computed, not measured: a relaxed Na2MgZnSe crystal at the GGA-PBEsol level of DFT. Values from VASP.

The structure in Quantum ESPRESSO input format:
```
&SYSTEM
  ibrav = 0, nat = 5, ntyp = 4
/
ATOMIC_SPECIES
Na 22.99 Na.upf
Mg 24.30 Mg.upf
Zn 65.41 Zn.upf
Se 78.96 Se.upf
CELL_PARAMETERS angstrom
5.4035 0.0000 0.0000
0.0000 5.4035 0.0000
0.0000 0.0000 5.1712
ATOMIC_POSITIONS crystal
Na 0.0000 0.5000 0.0000
Na 0.5000 0.0000 0.0000
Mg 0.0000 0.0000 0.5000
Zn 0.5000 0.5000 0.5000
Se 0.0000 0.0000 0.0000
```

Results
Energy relative to the elements, uncorrected, meV per atom: -172
V, Å³/atom: 30.2
Magnetic moment, μB per atom: 0.00

Computed, not measured: a relaxed TaTiPN2 crystal at the GGA-PBEsol level of DFT. Values from VASP.

The structure in Quantum ESPRESSO input format:
```
&SYSTEM
  ibrav = 0, nat = 5, ntyp = 4
/
ATOMIC_SPECIES
Ta 180.95 Ta.upf
Ti 47.87 Ti.upf
P 30.97 P.upf
N 14.01 N.upf
CELL_PARAMETERS angstrom
3.6936 0.0000 0.0000
0.0000 3.6936 0.0000
0.0000 0.0000 4.5393
ATOMIC_POSITIONS crystal
Ta 0.0000 0.0000 0.0000
Ti 0.5000 0.5000 0.0000
P 0.5000 0.5000 0.5000
N 0.0000 0.5000 0.5000
N 0.5000 0.0000 0.5000
```

Results
Energy relative to the elements, uncorrected, meV per atom: 1198
V, Å³/atom: 12.4
Magnetic moment, μB per atom: 0.00

Computed, not measured: a relaxed LaAlAg3 crystal at the GGA-PBEsol level of DFT. Values from VASP.

The structure in Quantum ESPRESSO input format:
```
&SYSTEM
  ibrav = 0, nat = 5, ntyp = 3
/
ATOMIC_SPECIES
La 138.91 La.upf
Al 26.98 Al.upf
Ag 107.87 Ag.upf
CELL_PARAMETERS angstrom
5.5224 0.0000 0.0000
0.0000 5.5224 0.0000
0.0000 0.0000 5.5224
ATOMIC_POSITIONS crystal
La 0.0000 0.0000 0.0000
Al 0.5000 0.5000 0.5000
Ag 0.0000 0.0000 0.5000
Ag 0.0000 0.5000 0.0000
Ag 0.5000 0.0000 0.0000
```

Results
Final energy, eV/atom: -2.6817
V, Å³/atom: 33.7
Magnetic moment, μB per atom: 0.00